# 1
{
  "formula": "SiHg",
  "functional": "GGA-PBE",
  "state": "optimized geometry",
  "cell": [[-2.422, 9.464, 5.893], [-5.444, -6.267, 7.827], [3.118, -0.369, 1.873]],
  "species": ["Si", "Si", "Si", "Si", "Si", "Si", "Si", "Si", "Hg", "Hg", "Hg", "Hg", "Hg", "Hg", "Hg", "Hg"],
  "frac_coords": [[0.787, 0.303, 0.000], [0.713, 0.197, 0.500], [0.287, 0.803, 0.500], [0.197, 0.287, 0.500], [0.213, 0.697, 0.000], [0.697, 0.787, 0.000], [0.803, 0.713, 0.500], [0.303, 0.213, 0.000], [0.011, 0.284, 0.000], [0.511, 0.784, 0.500], [0.716, 0.011, 0.000], [0.284, 0.989, 0.000], [0.216, 0.511, 0.500], [0.989, 0.716, 0.000], [0.784, 0.489, 0.500], [0.489, 0.216, 0.500]],
  "total_energy_ev_per_cell": -40.025,
  "relative_energy_ev_per_atom": 0.2155
}


# 2
{
  "formula": "PaTiSn2",
  "functional": "GGA-PBE",
  "state": "optimized geometry",
  "cell": [[4.452, 0.000, 0.000], [0.000, 4.565, 0.000], [0.000, 0.000, 4.565]],
  "species": ["Ti", "Sn", "Sn", "Pa"],
  "frac_coords": [[0.500, 0.000, 0.000], [0.000, 0.000, 0.500], [0.000, 0.500, 0.000], [0.500, 0.500, 0.500]],
  "total_energy_ev_per_cell": -26.019,
  "delta_e_f_ev_per_atom": -0.1555,
  "relative_energy_ev_per_atom": 0.0000
}


# 3
{
  "formula": "LiMn2AuN",
  "functional": "GGA-PBE",
  "state": "optimized geometry",
  "cell": [[3.858, 0.000, 0.000], [0.000, 3.858, 0.000], [0.000, 0.000, 4.114]],
  "species": ["N", "Au", "Mn", "Mn", "Li"],
  "frac_coords": [[0.000, 0.000, 0.000], [0.500, 0.500, 0.500], [0.500, 0.000, 0.000], [0.000, 0.500, 0.000], [0.000, 0.000, 0.500]],
  "total_energy_ev_per_cell": -33.427
}


# 4
{
  "formula": "Ac2HgI",
  "functional": "GGA-PBE",
  "state": "optimized geometry",
  "cell": [[-3.927, 3.768, -2.080], [-5.073, -1.945, -2.105], [-4.938, 0.978, 2.933]],
  "species": ["Ac", "Ac", "Hg", "I"],
  "frac_coords": [[0.750, 0.750, 0.750], [0.250, 0.250, 0.250], [0.000, 0.000, 0.000], [0.500, 0.500, 0.500]],
  "total_energy_ev_per_cell": -12.407,
  "relative_energy_ev_per_atom": 0.0999
}


# 5
{
  "formula": "MnW",
  "functional": "GGA-PBE",
  "state": "optimized geometry",
  "cell": [[4.088, 0.000, 0.000], [-2.044, 3.540, 0.000], [0.000, 0.000, 4.887]],
  "species": ["W", "W", "Mn", "Mn"],
  "frac_coords": [[0.667, 0.333, 0.250], [0.333, 0.667, 0.750], [0.667, 0.333, 0.750], [0.333, 0.667, 0.250]],
  "total_energy_ev_per_cell": -39.321,
  "delta_e_f_ev_per_atom": 1.2312
}


# 6
{
  "formula": "SrErAg2",
  "functional": "GGA-PBE",
  "state": "optimized geometry",
  "cell": [[-3.597, 3.527, -1.650], [-2.962, -1.036, -4.273], [-5.170, -1.034, 0.546]],
  "species": ["Er", "Ag", "Ag", "Sr"],
  "frac_coords": [[0.000, 0.000, 0.000], [0.750, 0.750, 0.750], [0.250, 0.250, 0.250], [0.500, 0.500, 0.500]],
  "total_energy_ev_per_cell": -12.754,
  "delta_e_f_ev_per_atom": -0.2017,
  "relative_energy_ev_per_atom": 0.0886
}


# 7
{
  "formula": "CaScFe2",
  "functional": "GGA-PBE",
  "state": "optimized geometry",
  "cell": [[4.910, -0.009, 0.025], [3.456, 3.488, 0.025], [2.904, 1.207, 5.219]],
  "species": ["Fe", "Fe", "Ca", "Sc"],
  "frac_coords": [[0.504, 0.504, 0.670], [0.996, 0.996, 0.830], [0.250, 0.250, 0.250], [0.750, 0.750, 0.750]],
  "total_energy_ev_per_cell": -23.839,
  "delta_e_f_ev_per_atom": 0.3548
}


# 8
{
  "formula": "BaAlTe2N",
  "functional": "GGA-PBE",
  "state": "optimized geometry",
  "cell": [[-2.305, -4.034, -3.962], [0.141, -4.318, 4.314], [-3.306, 0.899, 1.008]],
  "species": ["Ba", "Al", "Te", "Te", "N"],
  "frac_coords": [[0.500, 0.500, 0.500], [0.000, 0.000, 0.000], [0.000, 0.500, 0.000], [0.500, 0.000, 0.000], [0.000, 0.000, 0.500]],
  "total_energy_ev_per_cell": -22.526,
  "relative_energy_ev_per_atom": 0.0000
}


# 9
{
  "formula": "Al2InSb",
  "functional": "GGA-PBE",
  "state": "optimized geometry",
  "cell": [[-3.956, -4.696, -2.363], [4.966, -4.309, 0.249], [-0.995, -5.923, 4.275]],
  "species": ["Al", "Al", "Al", "Al", "Sb", "Sb", "In", "In"],
  "frac_coords": [[0.375, 0.367, 0.750], [0.633, 0.125, 0.250], [0.875, 0.883, 0.750], [0.117, 0.625, 0.250], [0.000, 0.000, 0.000], [0.750, 0.250, 0.500], [0.500, 0.500, 0.000], [0.250, 0.750, 0.500]],
  "total_energy_ev_per_cell": -26.705,
  "relative_energy_ev_per_atom": 0.1455
}


# 10
{
  "formula": "CeRe2C2",
  "functional": "GGA-PBE",
  "state": "optimized geometry",
  "cell": [[5.596, 0.202, -0.006], [-1.708, 5.332, -0.006], [-1.939, -2.761, 4.775]],
  "species": ["Re", "Re", "Re", "Re", "Ce", "Ce", "C", "C", "C", "C"],
  "frac_coords": [[0.767, 0.017, 0.534], [0.483, 0.733, 0.966], [0.233, 0.983, 0.466], [0.517, 0.267, 0.034], [0.875, 0.625, 0.750], [0.125, 0.375, 0.250], [0.563, 0.937, 0.750], [0.187, 0.313, 0.750], [0.437, 0.063, 0.250], [0.813, 0.687, 0.250]],
  "total_energy_ev_per_cell": -99.175,
  "delta_e_f_ev_per_atom": -0.0619
}


# 11
{
  "formula": "Mg2GaP",
  "functional": "GGA-PBE",
  "state": "optimized geometry",
  "cell": [[7.410, 0.000, 0.000], [0.000, 7.410, 0.000], [3.705, 3.705, 3.058]],
  "species": ["P", "P", "Mg", "Mg", "Mg", "Mg", "Ga", "Ga"],
  "frac_coords": [[0.250, 0.750, 0.500], [0.500, 0.500, 0.000], [0.375, 0.420, 0.750], [0.170, 0.625, 0.250], [0.580, 0.125, 0.250], [0.875, 0.830, 0.750], [0.750, 0.250, 0.500], [0.000, 0.000, 0.000]],
  "total_energy_ev_per_cell": -23.790,
  "delta_e_f_ev_per_atom": -0.0673,
  "relative_energy_ev_per_atom": 0.0155
}


# 12
{
  "formula": "TcAsW",
  "functional": "GGA-PBE",
  "state": "optimized geometry",
  "cell": [[-0.292, -1.606, 6.645], [2.007, -2.911, 5.567], [0.589, 2.379, 1.465]],
  "species": ["Tc", "As", "W"],
  "frac_coords": [[0.667, 0.667, 0.333], [0.002, 0.002, 0.998], [0.331, 0.331, 0.669]],
  "total_energy_ev_per_cell": -26.715,
  "delta_e_f_ev_per_atom": 0.4180,
  "relative_energy_ev_per_atom": 0.3363
}


# 13
{
  "formula": "Tb2TmSn2",
  "functional": "GGA-PBE",
  "state": "optimized geometry",
  "cell": [[4.973, 0.000, 0.000], [0.000, 6.460, 0.000], [-2.487, 0.000, 8.982]],
  "species": ["Sn", "Sn", "Sn", "Sn", "Tm", "Tm", "Tb", "Tb", "Tb", "Tb"],
  "frac_coords": [[0.193, 0.475, 0.386], [0.425, 0.478, 0.850], [0.575, 0.978, 0.150], [0.807, 0.975, 0.614], [0.605, 0.478, 0.209], [0.395, 0.978, 0.791], [0.000, 0.728, 0.999], [0.809, 0.475, 0.617], [0.191, 0.975, 0.383], [0.000, 0.228, 0.001]],
  "total_energy_ev_per_cell": -49.637,
  "delta_e_f_ev_per_atom": -0.6161
}